PBE NaTc2H, optimized geometry; energy above the lowest structure with this stoichiometry = 0.000 eV per atom; total DFT energy (no corrections) = -22.05 eV/f.u.
1.0
-2.0103 -0.5850 -5.2067
-5.0245 -1.3656 2.0934
-4.5481 2.7802 -1.5806
Na Tc H
2 4 2
direct
0.0000 0.0000 0.0000
0.7500 0.2500 0.5000
0.3750 0.1250 0.2500
0.3750 0.6250 0.2500
0.3750 0.6250 0.7500
0.8750 0.6250 0.7500
0.5000 0.5000 0.0000
0.2500 0.7500 0.5000



PBE NaTcH, optimized geometry; energy above the lowest structure with this stoichiometry = 0.000 eV per atom; total DFT energy (no corrections) = -14.91 eV/f.u.
1.0
3.0938 0.0000 0.0000
0.0000 3.0938 0.0000
0.0000 0.0000 9.5461
Na Tc H
2 2 2
direct
0.0000 0.5000 0.6916
0.5000 0.0000 0.3084
0.0000 0.5000 0.0661
0.5000 0.0000 0.9339
0.0000 0.5000 0.2520
0.5000 0.0000 0.7480



PBE Na2TcH6, optimized geometry; energy above the lowest structure with this stoichiometry = 0.314 eV per atom; total DFT energy (no corrections) = -30.75 eV/f.u.
1.0
4.3202 0.0000 0.0000
0.0000 4.3202 0.0000
0.0000 0.0000 11.4170
Na Tc H
4 2 12
direct
0.0000 0.0000 0.3629
0.5000 0.5000 0.8629
0.5000 0.5000 0.1371
0.0000 0.0000 0.6371
0.0000 0.0000 0.0000
0.5000 0.5000 0.5000
0.4188 0.4188 0.3520
0.5812 0.5812 0.3520
0.0812 0.9188 0.8520
0.9188 0.0812 0.8520
0.0812 0.9188 0.1480
0.9188 0.0812 0.1480
0.4188 0.4188 0.6480
0.5812 0.5812 0.6480
0.2830 0.2830 0.0000
0.7170 0.7170 0.0000
0.2170 0.7830 0.5000
0.7830 0.2170 0.5000



PBE NaTcH, optimized geometry; energy above the lowest structure with this stoichiometry = 0.068 eV per atom; total DFT energy (no corrections) = -14.71 eV/f.u.
1.0
2.8571 0.0000 0.0009
0.0000 3.0927 0.0000
-0.3746 0.0000 10.0477
Na Tc H
2 2 2
direct
0.2716 0.5000 0.5967
0.7261 0.0000 0.2780
0.6649 0.5000 0.0090
0.1458 0.0000 0.8658
0.1833 0.5000 0.1369
0.6386 0.0000 0.7399



PBE NaTcH, optimized geometry; energy above the lowest structure with this stoichiometry = 0.088 eV per atom; total DFT energy (no corrections) = -14.65 eV/f.u.
1.0
-1.5632 -0.0515 2.5466
2.1549 -1.6199 1.2900
4.4927 8.3063 2.9259
Na Tc H
2 2 2
direct
0.0000 0.0000 0.4294
0.5000 0.5000 0.7594
0.0000 0.0000 0.0059
0.5000 0.5000 0.1524
0.0000 0.0000 0.8278
0.0000 0.0000 0.1987



PBE Na4TcH6, optimized geometry; total DFT energy (no corrections) = -37.04 eV/f.u.
1.0
-1.8560 -1.6701 5.5327
-5.4154 -2.9206 0.6315
5.2430 -7.4238 2.8477
Na Tc H
8 2 12
direct
0.2580 0.0027 0.6121
0.1273 0.5027 0.1121
0.8827 0.3226 0.4056
0.3891 0.8226 0.9056
0.0880 0.5605 0.6388
0.7127 0.0605 0.1388
0.6090 0.1895 0.7609
0.4406 0.6895 0.2609
0.8204 0.8631 0.4301
0.8864 0.3631 0.9301
0.5550 0.4160 0.0248
0.0041 0.9160 0.5248
0.7040 0.7337 0.5757
0.9867 0.2337 0.0757
0.5894 0.2059 0.5191
0.6856 0.7059 0.0191
0.9760 0.0398 0.8593
0.1249 0.5398 0.3593
0.0063 0.9063 0.2599
0.8276 0.4063 0.7599
0.1355 0.4460 0.8679
0.5505 0.9460 0.3679